This record from Alexandria via LeMat-Bulk describes crystalline MnSnN2O at its relaxed geometry. The functional is PBE+U.

a = 3.9425 Å, b = 3.9425 Å, c = 4.1116 Å
α = 90.00°, β = 90.00°, γ = 90.00°
Space group P4/mmm (No. 123)
Inequivalent atoms, fractional coordinates:
Mn  0.0000  0.0000  0.0000 x1
Sn  0.5000  0.5000  0.5000 x1
N  0.0000  0.5000  0.0000 x2
O  0.0000  0.0000  0.5000 x1

Calculated total energy   -6.17 eV/atom